## MnV4FePb4O18 (PBE with a Hubbard U)

Data for an optimized crystal structure of MnV4FePb4O18.

```
28
Lattice="-2.4333 -2.7228 4.6520 7.0944 1.8996 4.2735 -6.4027 6.3664 0.6453" Properties=species:S:1:pos:R:3 pbc="T T T"
O -3.0808 6.3345 3.9989
O -6.0618 3.8644 3.0590
Pb -4.2497 3.3557 5.1843
O -0.9274 0.2223 6.8649
O -0.1366 0.1589 1.8540
O 3.0404 0.2960 8.7347
V -4.9396 3.7019 1.6824
Pb -1.0000 2.5011 2.4720
O 1.6409 4.4603 4.7441
O -0.5353 6.6098 5.3199
Fe 0.0000 0.0000 0.0000
V -1.6143 5.5762 4.2503
O -0.8142 5.3209 2.7058
O -3.4611 3.2340 2.3746
V -0.1273 -0.0330 5.3204
O 1.3392 -0.7912 5.5718
O -3.3825 1.0830 4.8267
O 4.3202 1.6788 6.5117
O 1.7195 2.3092 7.1961
O -1.9191 4.0064 4.9591
O -4.7820 5.2472 0.8361
Pb -0.7416 3.0422 7.0987
O -1.2063 -1.0666 4.2508
O -1.6051 5.3843 7.7168
O 0.1774 1.5368 4.6117
Pb 2.5081 2.1875 4.3864
Mn -1.2167 -1.3614 2.3260
V 3.1979 1.8413 7.8884
```

Calculated values
Crystal system   triclinic
E   -6.8201 eV/atom